Density functional theory data (GGA-PBE) for Nd7Er12Pb after structural relaxation.

ΔE_f (eV per atom): 0.0377

Cell lengths 6.5874, 8.9040, 11.7154 Å; angles 73.71, 80.60, 81.03 degrees
Element x y z (fractional)
1 Nd 0.0000 0.0000 0.0000
2 Nd 0.1553 0.1282 0.4190
3 Nd 0.2154 0.2494 0.1104
4 Nd 0.3778 0.4829 0.2681
5 Nd 0.6222 0.5171 0.7319
6 Nd 0.7846 0.7506 0.8896
7 Nd 0.8447 0.8718 0.5810
8 Er 0.0538 0.8272 0.3054
9 Er 0.1256 0.4506 0.7870
10 Er 0.2849 0.6433 0.9811
11 Er 0.3277 0.8864 0.6967
12 Er 0.4898 0.1264 0.8620
13 Er 0.4992 0.7242 0.4443
14 Er 0.5008 0.2758 0.5557
15 Er 0.5102 0.8736 0.1380
16 Er 0.6723 0.1136 0.3033
17 Er 0.7151 0.3567 0.0189
18 Er 0.8744 0.5494 0.2130
19 Er 0.9462 0.1728 0.6946
20 Pb 0.0000 0.5000 0.5000